# Th4Ni2C

A geometry-optimized Th4Ni2C structure (GGA-PBE, Alexandria via LeMat-Bulk).

a b c (Å): 4.864 4.864 14.605
angles (deg): 90.00 90.00 90.00
Space group I4/mmm (No. 139)
Asymmetric unit:
1 Th 0.000 0.000 0.194 x4
2 Th 0.000 0.500 0.000 x4
3 Ni 0.000 0.000 0.363 x4
4 C 0.000 0.000 0.500 x2

Volume, Å³ per cell: 345.6
Calculated total energy, hartree per atom: -0.2623
ΔE_f, meV per atom: 72

# AcErPtPb

A geometry-optimized AcErPtPb structure (GGA-PBE, Alexandria via LeMat-Bulk).

a b c (Å): 7.655 7.655 7.655
angles (deg): 90.00 90.00 90.00
Space group F-43m (No. 216)
Asymmetric unit:
1 Ac 0.000 0.000 0.000 x4
2 Er 0.000 0.000 0.500 x4
3 Pt 0.250 0.250 0.750 x4
4 Pb 0.250 0.250 0.250 x4

Volume, Å³ per cell: 448.6
Calculated total energy, hartree per atom: -0.1925
ΔE_f, meV per atom: -633

# YTlPt2

A geometry-optimized YTlPt2 structure (GGA-PBE, Alexandria via LeMat-Bulk).

a b c (Å): 3.679 3.679 6.108
angles (deg): 90.00 90.00 90.00
Space group P4/mmm (No. 123)
Asymmetric unit:
1 Y 0.000 0.000 0.000 x1
2 Tl 0.000 0.000 0.500 x1
3 Pt 0.500 0.500 0.246 x2

Volume, Å³ per cell: 82.7
Calculated total energy, hartree per atom: -0.2170
ΔE_f, meV per atom: -676

# BeHg2Cl

A geometry-optimized BeHg2Cl structure (GGA-PBE, Alexandria via LeMat-Bulk).

a b c (Å): 4.049 4.049 11.585
angles (deg): 90.00 90.00 90.00
Space group I4/mmm (No. 139)
Asymmetric unit:
1 Be 0.000 0.000 0.000 x2
2 Hg 0.000 0.500 0.250 x4
3 Cl 0.000 0.000 0.500 x2

Formation energy without anion corrections, eV/atom: 0.417
Volume, Å³ per cell: 190.0
Polymorph energy (0 for the lowest one), kJ per mole of atoms: 59.5
Calculated total energy, hartree per atom: -0.0414

# ThVP2

A geometry-optimized ThVP2 structure (GGA-PBE, Alexandria via LeMat-Bulk).

a b c (Å): 3.687 3.687 11.847
angles (deg): 90.00 90.00 90.00
Space group I-4m2 (No. 119)
Asymmetric unit:
1 Th 0.000 0.000 0.000 x2
2 V 0.000 0.500 0.750 x2
3 P 0.000 0.000 0.369 x4

Volume, Å³ per cell: 161.0
Polymorph energy (0 for the lowest one), kJ per mole of atoms: 0.0
Calculated total energy, hartree per atom: -0.2801
ΔE_f, meV per atom: -782

# Tb2Er2Se3

A geometry-optimized Tb2Er2Se3 structure (GGA-PBE, Alexandria via LeMat-Bulk).

a b c (Å): 13.363 3.968 6.904
angles (deg): 90.00 101.06 90.00
Space group C2/m (No. 12)
Asymmetric unit:
1 Tb 0.123 0.000 0.357 x4
2 Er 0.118 0.500 0.885 x4
3 Se 0.000 0.500 0.500 x2
4 Se 0.241 0.000 0.750 x4

Formation energy without anion corrections, eV/atom: -1.462
Volume, Å³ per cell: 359.3
Calculated total energy, hartree per atom: -0.2051

# TiBeSe

A geometry-optimized TiBeSe structure (GGA-PBE, Alexandria via LeMat-Bulk).

a b c (Å): 3.8439 3.8439 25.5973
angles (deg): 90.00 90.00 120.00
Space group R-3m (No. 166, hexagonal axes)
Asymmetric unit:
1 Ti 0.0000 0.0000 0.0549 x6
2 Be 0.0000 0.0000 0.3285 x6
3 Se 0.0000 0.0000 0.2320 x6

Formation energy without anion corrections, eV/atom: -0.629
Volume, Å³ per cell: 327.5
Calculated total energy, hartree per atom: -0.2082

# SrBePt

A geometry-optimized SrBePt structure (GGA-PBE, Alexandria via LeMat-Bulk).

a b c (Å): 6.859 6.859 6.859
angles (deg): 90.00 90.00 90.00
Space group F-43m (No. 216)
Asymmetric unit:
1 Sr 0.000 0.000 0.000 x4
2 Be 0.250 0.250 0.750 x4
3 Pt 0.250 0.250 0.250 x4

Volume, Å³ per cell: 322.7
Polymorph energy (0 for the lowest one), kJ per mole of atoms: 122.4
Calculated total energy, hartree per atom: -0.1161
ΔE_f, meV per atom: 656

# BaInP2S6

A geometry-optimized BaInP2S6 structure (GGA-PBE, Alexandria via LeMat-Bulk).

a b c (Å): 9.626 15.876 7.694
angles (deg): 90.00 113.14 90.00
Space group C2/c (No. 15)
Asymmetric unit:
1 Ba 0.000 0.139 0.250 x4
2 In 0.000 0.491 0.750 x4
3 P 0.241 0.112 0.825 x8
4 S 0.021 0.386 0.019 x8
5 S 0.201 0.219 0.662 x8
6 S 0.203 0.006 0.639 x8

Formation energy without anion corrections, eV/atom: -0.617
Volume, Å³ per cell: 1081.3
Calculated total energy, hartree per atom: -0.1706

# Cs2TmMnS4

A geometry-optimized Cs2TmMnS4 structure (GGA-PBE, Alexandria via LeMat-Bulk).

a b c (Å): 6.318 14.935 25.219
angles (deg): 90.00 90.00 90.00
Space group Fddd (No. 70, origin choice 2)
Asymmetric unit:
1 Cs 0.125 0.125 0.306 x16
2 Tm 0.125 0.125 0.125 x8
3 Mn 0.125 0.125 0.625 x8
4 S 0.096 0.277 0.832 x32

Formation energy without anion corrections, eV/atom: -1.213
Volume, Å³ per cell: 2379.7
Calculated total energy, hartree per atom: -0.1909

# MgZnRh2

A geometry-optimized MgZnRh2 structure (GGA-PBE, Alexandria via LeMat-Bulk).

a b c (Å): 3.052 4.169 4.644
angles (deg): 90.00 90.00 90.00
Space group Pmmm (No. 47)
Asymmetric unit:
1 Mg 0.000 0.000 0.000 x1
2 Zn 0.500 0.000 0.500 x1
3 Rh 0.000 0.500 0.500 x1
4 Rh 0.500 0.500 0.000 x1

Volume, Å³ per cell: 59.1
Calculated total energy, hartree per atom: -0.1718
ΔE_f, meV per atom: -282

# CsKBa2H

A geometry-optimized CsKBa2H structure (GGA-PBE, Alexandria via LeMat-Bulk).

a b c (Å): 5.979 5.979 7.676
angles (deg): 90.00 90.00 90.00
Space group P4/mmm (No. 123)
Asymmetric unit:
1 Cs 0.000 0.000 0.000 x1
2 K 0.500 0.500 0.000 x1
3 Ba 0.000 0.500 0.500 x2
4 H 0.500 0.500 0.500 x1

Volume, Å³ per cell: 274.4
Polymorph energy (0 for the lowest one), kJ per mole of atoms: 3.6
Calculated total energy, hartree per atom: -0.0652